[1]
Hf2VTcH (PBE-GGA, optimized geometry); D(E_F) = 1.04 states/eV/atom; energy = -8.770 eV per atom
1.0
-0.278 3.783 -2.616
-4.128 -1.361 -1.530
-1.512 1.677 2.586
H Hf Tc V
1 2 1 1
Direct
0.000 0.000 0.000
0.000 0.500 0.000
0.500 0.000 0.000
0.500 0.500 0.500
0.000 0.000 0.500


[2]
Hf2TcHW (PBE-GGA, optimized geometry); D(E_F) = 0.89 states/eV/atom; energy = -9.469 eV per atom
1.0
4.667 0.000 0.000
0.000 3.423 0.000
0.000 0.000 4.667
H Hf Tc W
1 2 1 1
Direct
0.000 0.000 0.000
0.000 0.000 0.500
0.500 0.000 0.000
0.000 0.500 0.000
0.500 0.500 0.500


[3]
YHfTc2H (PBE-GGA, optimized geometry); D(E_F) = 0.93 states/eV/atom; energy = -8.054 eV per atom
1.0
-1.658 -3.836 -1.895
2.901 -1.905 1.319
-2.334 -0.892 3.848
Y H Hf Tc
1 1 1 2
Direct
0.500 0.500 0.500
0.000 0.000 0.000
0.000 0.500 0.000
0.000 0.000 0.500
0.500 0.000 0.000


[4]
HfZnTc2H (PBE-GGA, optimized geometry); offset from the most stable computed form = 0.000 eV/f.u.; D(E_F) = 0.87 states/eV/atom; energy = -7.158 eV per atom
1.0
-3.623 -0.937 -1.428
-0.138 -3.177 2.435
-1.739 2.301 2.904
H Zn Hf Tc
1 1 1 2
Direct
0.000 0.000 0.000
0.500 0.500 0.500
0.000 0.000 0.500
0.000 0.500 0.000
0.500 0.000 0.000


[5]
HfZnTc2H (PBE-GGA, optimized geometry); offset from the most stable computed form = 0.319 eV/f.u.; D(E_F) = 0.93 states/eV/atom; energy = -7.095 eV per atom
1.0
4.082 0.000 0.000
0.000 4.082 0.000
0.000 0.000 3.915
H Zn Hf Tc
1 1 1 2
Direct
0.000 0.000 0.000
0.000 0.000 0.500
0.500 0.500 0.500
0.000 0.500 0.000
0.500 0.000 0.000


[6]
Hf2TeH2 (PBE-GGA, optimized geometry); offset from the most stable computed form = 3.045 eV/f.u.; D(E_F) = 0.84 states/eV/atom; energy = -5.714 eV per atom
1.0
7.403 0.000 0.000
0.000 7.403 0.000
0.000 0.000 3.056
H Te Hf
4 2 4
Direct
0.093 0.593 0.500
0.593 0.907 0.500
0.907 0.407 0.500
0.407 0.093 0.500
0.000 0.000 0.000
0.500 0.500 0.000
0.365 0.865 0.000
0.865 0.635 0.000
0.635 0.135 0.000
0.135 0.365 0.000